Version 1
A plane-wave DFT calculation with PBE was carried out for NaCd4Hg7 after structural relaxation. Values from VASP.

```
&SYSTEM
  ibrav = 0, nat = 12, ntyp = 3
/
ATOMIC_SPECIES
Na 22.99 Na.upf
Cd 112.41 Cd.upf
Hg 200.59 Hg.upf
ATOMIC_POSITIONS crystal
Na 0.000 0.000 0.000
Cd 0.497 0.335 0.671
Cd 0.503 0.665 0.329
Cd 0.749 0.669 0.833
Cd 0.251 0.331 0.167
Hg 0.750 0.999 0.502
Hg 0.250 0.001 0.498
Hg 0.001 0.666 0.332
Hg 0.999 0.334 0.668
Hg 0.254 0.664 0.828
Hg 0.500 0.000 0.000
Hg 0.746 0.336 0.172
CELL_PARAMETERS angstrom
6.114 0.000 0.000
3.057 8.325 0.737
3.057 0.666 6.244
```

## Properties
The space group is C2/m (12).

***

Version 2
A plane-wave DFT calculation with PBE was carried out for NaCd4Hg7 after structural relaxation. Values from VASP.

```
&SYSTEM
  ibrav = 0, nat = 12, ntyp = 3
/
ATOMIC_SPECIES
Na 22.99 Na.upf
Cd 112.41 Cd.upf
Hg 200.59 Hg.upf
ATOMIC_POSITIONS crystal
Na 0.000 0.000 0.000
Cd 0.601 0.624 0.320
Cd 0.399 0.376 0.680
Cd 0.639 0.895 0.667
Cd 0.361 0.105 0.333
Hg 0.767 0.495 0.972
Hg 0.233 0.505 0.028
Hg 0.934 0.347 0.642
Hg 0.066 0.653 0.358
Hg 0.188 0.841 0.666
Hg 0.500 0.000 0.000
Hg 0.812 0.159 0.334
CELL_PARAMETERS angstrom
-5.037 -0.077 3.887
-8.300 -2.315 -0.476
-2.215 -8.138 3.163
```

## Properties
The space group is P-1 (2).

***

We find version 2 to be the most stable, with the next structure 17 meV/atom higher.

***

Version 1
A plane-wave DFT calculation with PBE was carried out for NaCd2Hg7 after structural relaxation. Values from VASP.

```
&SYSTEM
  ibrav = 0, nat = 10, ntyp = 3
/
ATOMIC_SPECIES
Na 22.99 Na.upf
Cd 112.41 Cd.upf
Hg 200.59 Hg.upf
ATOMIC_POSITIONS crystal
Na 0.000 0.000 0.000
Cd 0.500 0.646 0.354
Cd 0.500 0.354 0.646
Hg 0.000 0.771 0.229
Hg 0.000 0.229 0.771
Hg 0.500 0.068 0.289
Hg 0.500 0.932 0.711
Hg 0.500 0.289 0.068
Hg 0.500 0.711 0.932
Hg 0.500 0.500 0.500
CELL_PARAMETERS angstrom
-0.379 0.400 3.218
-6.988 -8.732 0.264
11.070 1.128 1.163
```

## Properties
The space group is Cmmm (65).

***

Version 2
A plane-wave DFT calculation with PBE was carried out for NaCd2Hg7 after structural relaxation. Values from VASP.

```
&SYSTEM
  ibrav = 0, nat = 10, ntyp = 3
/
ATOMIC_SPECIES
Na 22.99 Na.upf
Cd 112.41 Cd.upf
Hg 200.59 Hg.upf
ATOMIC_POSITIONS crystal
Na 0.000 0.000 0.000
Cd 0.500 0.697 0.394
Cd 0.500 0.303 0.606
Hg 0.000 0.796 0.592
Hg 0.000 0.204 0.408
Hg 0.500 0.654 0.801
Hg 0.500 0.346 0.199
Hg 0.500 0.854 0.199
Hg 0.500 0.146 0.801
Hg 0.500 0.500 0.000
CELL_PARAMETERS angstrom
-0.496 1.820 -2.504
-5.923 -0.533 0.786
3.031 11.371 7.664
```

## Properties
The space group is Cmmm (65).

***

We find version 2 to be the most stable, with the next structure 36 meV/atom higher.